No. 1
A plane-wave DFT calculation with GGA-PBE was carried out for CePmThHg after structural relaxation.

The structure in POSCAR format:
```
CePmThHg
1.0
0.000 3.824 3.824
3.824 0.000 3.824
3.824 3.824 0.000
Ce Pm Th Hg
1 1 1 1
Direct
0.000 0.000 0.000
0.750 0.750 0.750
0.250 0.250 0.250
0.500 0.500 0.500
```

---

No. 2
A plane-wave DFT calculation with GGA-PBE was carried out for Ba3Cd3Hg2 after structural relaxation.

The structure in POSCAR format:
```
Ba3Cd3Hg2
1.0
2.617 -6.127 0.000
2.617 6.127 0.000
0.000 0.000 17.387
Ba Cd Hg
6 6 4
Direct
0.102 0.898 0.600
0.102 0.898 0.900
0.377 0.623 0.750
0.623 0.377 0.250
0.898 0.102 0.100
0.898 0.102 0.400
0.332 0.668 0.250
0.392 0.608 0.542
0.392 0.608 0.958
0.608 0.392 0.042
0.608 0.392 0.458
0.668 0.332 0.750
0.197 0.803 0.102
0.197 0.803 0.398
0.803 0.197 0.602
0.803 0.197 0.898
```

---

No. 3
A plane-wave DFT calculation with GGA-PBE was carried out for LaPr7Y12 after structural relaxation.

Summary:
Excess energy over the best structure of this formula in the dataset ... 0.391 eV/atom

The structure in POSCAR format:
```
LaPr7Y12
1.0
-5.708 5.708 5.708
5.708 -5.708 5.708
5.708 5.708 -5.708
La Pr Y
1 7 12
Direct
0.000 0.000 0.000
0.000 0.000 0.500
0.000 0.500 0.000
0.000 0.500 0.500
0.500 0.000 0.000
0.500 0.000 0.500
0.500 0.500 0.000
0.500 0.500 0.500
0.000 0.251 0.749
0.000 0.749 0.251
0.251 0.000 0.749
0.251 0.251 0.502
0.251 0.502 0.251
0.251 0.749 0.000
0.498 0.749 0.749
0.502 0.251 0.251
0.749 0.000 0.251
0.749 0.251 0.000
0.749 0.498 0.749
0.749 0.749 0.498
```

---

No. 4
A plane-wave DFT calculation with GGA-PBE was carried out for PmSm3Ho5 after structural relaxation.

Summary:
Excess energy over the best structure of this formula in the dataset ... 0.198 eV/atom

The structure in POSCAR format:
```
PmSm3Ho5
1.0
7.635 -5.680 0.000
7.635 5.680 0.000
-6.455 0.000 7.577
Pm Sm Ho
2 6 10
Direct
0.248 0.248 0.405
0.752 0.752 0.595
0.000 0.000 0.000
0.022 0.022 0.362
0.492 0.492 0.190
0.500 0.500 0.500
0.508 0.508 0.810
0.978 0.978 0.638
0.098 0.598 0.250
0.225 0.225 0.042
0.259 0.741 0.000
0.281 0.281 0.776
0.402 0.902 0.750
0.598 0.098 0.250
0.719 0.719 0.224
0.741 0.259 0.000
0.775 0.775 0.958
0.902 0.402 0.750
```

---

No. 5
A plane-wave DFT calculation with GGA-PBE was carried out for NdSm4Tm4 after structural relaxation.

Summary:
Excess energy over the best structure of this formula in the dataset ... 0.000 eV/atom

The structure in POSCAR format:
```
NdSm4Tm4
1.0
6.228 0.000 0.000
1.050 8.829 0.000
0.019 2.197 10.574
Nd Sm Tm
2 8 8
Direct
0.248 0.000 0.249
0.752 0.000 0.751
0.137 0.668 0.474
0.360 0.333 0.697
0.361 0.333 0.360
0.361 0.334 0.027
0.639 0.666 0.973
0.639 0.667 0.640
0.640 0.667 0.303
0.863 0.332 0.526
0.135 0.668 0.137
0.139 0.668 0.807
0.248 0.998 0.918
0.251 0.998 0.585
0.749 0.002 0.415
0.752 0.002 0.082
0.861 0.332 0.193
0.865 0.332 0.863
```

---

No. 6
A plane-wave DFT calculation with GGA-PBE was carried out for KMgTlCr2 after structural relaxation.

The structure in POSCAR format:
```
KMgTlCr2
1.0
5.494 0.000 0.000
0.000 5.494 0.000
0.000 0.000 5.405
K Mg Tl Cr
1 1 1 2
Direct
0.000 0.000 0.000
0.500 0.500 0.000
0.500 0.500 0.500
0.000 0.500 0.500
0.500 0.000 0.500
```

---

No. 7
A plane-wave DFT calculation with GGA-PBE was carried out for SrTcNi2 after structural relaxation.

Summary:
Excess energy over the best structure of this formula in the dataset ... 0.517 eV/atom

The structure in POSCAR format:
```
SrTcNi2
1.0
-2.124 2.621 3.323
2.124 -2.621 3.323
2.124 2.621 -3.323
Sr Tc Ni
1 1 2
Direct
0.000 0.000 0.000
0.500 0.500 0.000
0.312 0.812 0.500
0.688 0.188 0.500
```

---

No. 8
A plane-wave DFT calculation with GGA-PBE was carried out for HoUFe3 after structural relaxation.

Summary:
Excess energy over the best structure of this formula in the dataset ... 0.000 eV/atom

The structure in POSCAR format:
```
HoUFe3
1.0
4.867 -2.811 0.000
4.867 2.811 0.000
-3.236 0.000 5.799
Ho U Fe
2 2 6
Direct
0.100 0.100 0.298
0.900 0.900 0.702
0.334 0.334 0.001
0.666 0.666 0.999
0.114 0.599 0.311
0.401 0.401 0.689
0.401 0.886 0.689
0.599 0.114 0.311
0.599 0.599 0.311
0.886 0.401 0.689
```

---

| no. | M_tot (μB per formula unit) | formation energy (eV per atom) |
| --- | --- | --- |
| 1 | 0.6 | 0.026 |
| 2 | 0.0 | -0.386 |
| 3 | 0.0 | 0.598 |
| 4 | 0.0 | 0.512 |
| 5 | 0.0 | 0.010 |
| 6 | 9.6 | 0.899 |
| 7 | 1.1 | 0.646 |
| 8 | 0.9 | -0.103 |